1.
Computed, not measured: crystalline NaDyTlIn at its relaxed geometry at the GGA-PBE level of DFT.

Lattice parameters (Å, degrees): 5.3130 5.3130 5.3130 60.00 60.00 60.00
With the nearest neighbours (Å) after each atom.
Positions (direct):
Na 0.0000 0.0000 0.0000  4 Tl 3.25, 4 In 3.25
Dy 0.5000 0.5000 0.5000  4 Tl 3.25, 4 In 3.25
Tl 0.2500 0.2500 0.2500  4 Dy 3.25, 4 Na 3.25
In 0.7500 0.7500 0.7500  4 Dy 3.25, 4 Na 3.25

ΔE to the lowest computed polymorph   0.029 eV per atom
Space group   F-43m (216)
Formation energy   -0.985 eV per formula unit



2.
Computed, not measured: crystalline VZn2CdB at its relaxed geometry at the GGA-PBE level of DFT.

Lattice parameters (Å, degrees): 4.7256 4.7256 5.1071 90.00 90.00 90.00
With the nearest neighbours (Å) after each atom.
Positions (direct):
V 0.0000 0.0000 0.0000  2 Cd 2.55
Zn 0.0000 0.5000 0.5000  2 Cd 2.36
Zn 0.5000 0.0000 0.5000  2 Cd 2.36
Cd 0.0000 0.0000 0.5000  4 Zn 2.36, 2 V 2.55
B 0.5000 0.5000 0.0000  4 V 3.34, 8 Zn 3.48

ΔE to the lowest computed polymorph   1.707 eV per atom
Space group   P4/mmm (123)
Formation energy   9.651 eV per formula unit



3.
Computed, not measured: crystalline ReAsIr2 at its relaxed geometry at the GGA-PBE level of DFT.

Lattice parameters (Å, degrees): 5.3862 5.3862 5.3862 149.08 131.11 58.98
With the nearest neighbours (Å) after each atom.
Positions (direct):
Re 0.0000 0.0000 0.0000  2 As 2.50, 4 Ir 2.72
As 0.2187 0.7187 0.5000  6 Ir 2.48-2.66, 2 Re 2.50
Ir 0.4346 0.4346 0.0000  2 As 2.48, 4 Re 2.72
Ir 0.7356 0.2356 0.5000  4 As 2.66, 2 Re 2.87, 4 Ir 2.87-2.91

Space group   Imm2 (44)
Formation energy   1.012 eV per formula unit



4.
Computed, not measured: crystalline In2Ag4Au3 at its relaxed geometry at the GGA-PBE level of DFT.

Lattice parameters (Å, degrees): 5.2848 5.2848 8.9870 111.10 111.10 47.32
With the nearest neighbours (Å) after each atom.
Positions (direct):
In 0.1682 0.1682 0.2270  5 Au 2.91-2.96, 7 Ag 2.94-3.08
In 0.8318 0.8318 0.7730  5 Au 2.91-2.96, 7 Ag 2.94-3.08
Ag 0.1669 0.1669 0.8914  4 Ag 2.90-2.93, 4 Au 2.98-3.05, 4 In 2.99-3.08
Ag 0.4971 0.4971 0.3328  3 Ag 2.93-2.98, 6 Au 2.93-3.03, 3 In 2.94-3.06
Ag 0.5029 0.5029 0.6672  3 Ag 2.93-2.98, 6 Au 2.93-3.03, 3 In 2.94-3.06
Ag 0.8331 0.8331 0.1086  4 Ag 2.90-2.93, 4 Au 2.98-3.05, 4 In 2.99-3.08
Au 0.1644 0.1644 0.5550  3 In 2.91-2.96, 6 Ag 2.93-3.03, 3 Au 2.94-3.08
Au 0.5000 0.5000 0.0000  4 In 2.95, 8 Ag 2.98-3.05
Au 0.8356 0.8356 0.4450  3 In 2.91-2.96, 6 Ag 2.93-3.03, 3 Au 2.94-3.08

ΔE to the lowest computed polymorph   0.000 eV per atom
Space group   C2/m (12)
Formation energy   -0.846 eV per formula unit



5.
Computed, not measured: crystalline LiSm4Tc at its relaxed geometry at the GGA-PBE level of DFT.

Lattice parameters (Å, degrees): 7.8324 7.8324 6.3726 100.25 100.25 110.30
With the nearest neighbours (Å) after each atom.
Positions (direct):
Li 0.1235 0.8765 0.7500  8 Sm 3.22-3.52
Li 0.8765 0.1235 0.2500  8 Sm 3.22-3.52
Sm 0.1392 0.3036 0.8873  2 Tc 3.01-3.08, 1 Li 3.26
Sm 0.2252 0.5687 0.4499  2 Tc 2.84-2.88
Sm 0.3036 0.1392 0.3873  2 Tc 3.01-3.08, 1 Li 3.26
Sm 0.4313 0.7748 0.0501  2 Tc 2.84-2.88
Sm 0.5687 0.2252 0.9499  2 Tc 2.84-2.88
Sm 0.6964 0.8608 0.6127  2 Tc 3.01-3.08, 1 Li 3.26
Sm 0.7748 0.4313 0.5501  2 Tc 2.84-2.88
Sm 0.8608 0.6964 0.1127  2 Tc 3.01-3.08, 1 Li 3.26
Tc 0.4996 0.5004 0.2500  8 Sm 2.84-3.08
Tc 0.5004 0.4996 0.7500  8 Sm 2.84-3.08

Space group   C2/c (15)
Formation energy   0.095 eV per formula unit



6.
Computed, not measured: crystalline MgCoIr2 at its relaxed geometry at the GGA-PBE level of DFT.

Lattice parameters (Å, degrees): 2.7137 2.7137 8.9102 90.00 90.00 117.42
With the nearest neighbours (Å) after each atom.
Positions (direct):
Mg 0.0000 0.0000 0.0000  2 Co 2.63, 2 Ir 2.66, 6 Mg 2.71-2.82
Co 0.5000 0.5000 0.7505  2 Ir 2.51, 2 Mg 2.63, 4 Co 2.71
Ir 0.0000 0.0000 0.5172  2 Co 2.51, 6 Ir 2.71-2.75
Ir 0.5000 0.5000 0.2527  2 Mg 2.66, 8 Ir 2.71-2.82

Space group   Cmm2 (35)
Formation energy   0.932 eV per formula unit